VASP calculation (PBE-GGA) on a geometry-optimized CaIn2Mo structure.

Results
Electronic total energy in eV per atom: -4.297
V in Å³/cell: 88.7
Energy above the lowest structure with this stoichiometry in eV/atom: 0.178
ρ in kg/m³: 6844
Magnetic moment in μB per cell: 0.00
DOS(E_F) in states/eV/cell: 1.1

Cell lengths 5.759, 5.759, 5.759 Å; angles 137.39, 136.00, 62.92 degrees
Atoms (fractional coordinates):
Mo1 0.502 0.502 0.000
Ca1 0.252 0.752 0.500
In1 0.999 0.999 0.000
In2 0.747 0.247 0.500

=====

VASP calculation (PBE-GGA) on a geometry-optimized Ca2InMo structure.

Results
Electronic total energy in eV per atom: -4.038
V in Å³/cell: 102.0
ρ in kg/m³: 4736
Magnetic moment in μB per cell: 0.00
DOS(E_F) in states/eV/cell: 3.9

Cell lengths 6.095, 6.095, 5.695 Å; angles 73.87, 73.87, 30.23 degrees
Atoms (fractional coordinates):
Mo1 0.218 0.218 0.222
Ca1 0.974 0.974 0.065
Ca2 0.775 0.775 0.691
In1 0.533 0.533 0.523

=====

VASP calculation (PBE-GGA) on a geometry-optimized Ca2InMo structure.

Results
Electronic total energy in eV per atom: -4.004
V in Å³/cell: 102.1
ρ in kg/m³: 4732
Magnetic moment in μB per cell: 0.00
DOS(E_F) in states/eV/cell: 4.7

Cell lengths 3.177, 3.177, 10.114 Å; angles 90.00, 90.00, 90.00 degrees
Atoms (fractional coordinates):
Mo1 0.500 0.500 0.725
Ca1 0.000 0.000 0.956
Ca2 0.500 0.500 0.288
In1 0.000 0.000 0.531

=====

VASP calculation (PBE-GGA) on a geometry-optimized Ca2InMo structure.

Results
Electronic total energy in eV per atom: -3.916
V in Å³/cell: 99.7
ρ in kg/m³: 4846
Magnetic moment in μB per cell: 0.00
DOS(E_F) in states/eV/cell: 2.2

Cell lengths 10.669, 10.669, 10.669 Å; angles 17.85, 17.85, 17.85 degrees
Atoms (fractional coordinates):
Mo1 0.750 0.750 0.750
Ca1 0.005 0.005 0.005
Ca2 0.495 0.495 0.495
In1 0.250 0.250 0.250

=====

Question: What is the magnetic moment in the fourth record?
Answer: 0.00 μB per cell

=====

Question: electronic total energy of number 2 (Ca2InMo)?
Answer: -4.038 eV per atom

=====

Question: Which formula does entry 4 have?
Answer: Ca2InMo

=====

Please write out number 2 again, unchanged.
VASP calculation (PBE-GGA) on a geometry-optimized Ca2InMo structure.

Results
Electronic total energy in eV per atom: -4.038
V in Å³/cell: 102.0
ρ in kg/m³: 4736
Magnetic moment in μB per cell: 0.00
DOS(E_F) in states/eV/cell: 3.9

Cell lengths 6.095, 6.095, 5.695 Å; angles 73.87, 73.87, 30.23 degrees
Atoms (fractional coordinates):
Mo1 0.218 0.218 0.222
Ca1 0.974 0.974 0.065
Ca2 0.775 0.775 0.691
In1 0.533 0.533 0.523